[1]
## Ba3ScB9O18 (PBE)

Data for a geometry-optimized Ba3ScB9O18 structure.

Lattice parameters (Å, degrees): 7.2318 7.2318 16.9479 90.00 90.00 120.00
With the nearest neighbours (Å) after each atom.
Space group P6_3/m (No. 176)
Inequivalent atoms, fractional coordinates:
Ba 0.0000 0.0000 0.2500 x2  6 O 2.76-2.89
Ba 0.3333 0.6667 0.1285 x4  9 O 2.74-3.03
Sc 0.0000 0.0000 0.0000 x2  6 O 2.14
B 0.1158 0.4954 0.7500 x6  3 O 1.33-1.42
B 0.1702 0.7252 0.5784 x12  3 O 1.33-1.42
O 0.0137 0.7716 0.5766 x12  1 B 1.33
O 0.0833 0.6675 0.2500 x6  1 B 1.33
O 0.1198 0.5090 0.5791 x12  2 B 1.41-1.42
O 0.1672 0.7106 0.7500 x6  2 B 1.41-1.42

Properties
Final energy = -7.919 eV/atom
Calculated volume = 12.4 A^3/atom

---

[2]
## Li2CdAg (PBE)

Data for a geometry-optimized Li2CdAg structure.

Lattice parameters (Å, degrees): 6.5769 6.5769 6.5769 90.00 90.00 90.00
With the nearest neighbours (Å) after each atom.
Space group F-43m (No. 216)
Inequivalent atoms, fractional coordinates:
Li 0.0000 0.0000 0.0000 x4  4 Cd 2.85, 4 Li 2.85
Li 0.2500 0.2500 0.2500 x4  4 Ag 2.85, 4 Li 2.85
Cd 0.2500 0.2500 0.7500 x4  4 Li 2.85, 4 Ag 2.85
Ag 0.0000 0.0000 0.5000 x4  4 Cd 2.85, 4 Li 2.85

Properties
ΔE_f = -0.232 eV/atom
Calculated volume = 17.8 A^3/atom

---

[3]
## ScIr3O (PBE)

Data for a geometry-optimized ScIr3O structure.

Lattice parameters (Å, degrees): 4.7523 4.7523 4.7523 90.00 90.00 90.00
With the nearest neighbours (Å) after each atom.
Space group Pm-3m (No. 221)
Inequivalent atoms, fractional coordinates:
Sc 0.0000 0.0000 0.0000 x1  6 Ir 2.38
Ir 0.0000 0.0000 0.5000 x3  2 Sc 2.38
O 0.5000 0.5000 0.5000 x1  12 Ir 3.36

Properties
Relative energy among the computed polymorphs = 2.112 eV/atom
Calculated volume = 21.5 A^3/atom

---

[4]
## Ho3VAg3S8 (PBE)

Data for a geometry-optimized Ho3VAg3S8 structure.

Lattice parameters (Å, degrees): 13.3976 7.7354 7.8079 90.00 125.30 90.00
With the nearest neighbours (Å) after each atom.
Space group C2/m (No. 12)
Inequivalent atoms, fractional coordinates:
Ho 0.0000 0.0000 0.0000 x2  6 S 2.71-2.73
Ho 0.2500 0.2500 0.0000 x4  6 S 2.71-2.73
V 0.0000 0.5000 0.0000 x2  6 S 2.46
Ag 0.0000 0.5000 0.5000 x2  6 S 2.76-2.79
Ag 0.2500 0.2500 0.5000 x4  6 S 2.77-2.79
S 0.0015 0.2735 0.7804 x8  1 V 2.46, 2 Ho 2.73
S 0.2249 0.5000 0.2194 x4  1 V 2.46, 2 Ho 2.73
S 0.2479 0.0000 0.2414 x4  3 Ho 2.71, 3 Ag 2.76-2.78

Properties
Final energy = -5.419 eV/atom
Calculated volume = 22.0 A^3/atom

---

[5]
## ScBeO3 (PBE)

Data for a geometry-optimized ScBeO3 structure.

Lattice parameters (Å, degrees): 3.4272 3.4272 3.4272 90.00 90.00 90.00
With the nearest neighbours (Å) after each atom.
Space group Pm-3m (No. 221)
Inequivalent atoms, fractional coordinates:
Sc 0.0000 0.0000 0.0000 x1  12 O 2.42
Be 0.5000 0.5000 0.5000 x1  6 O 1.71
O 0.0000 0.5000 0.5000 x3  2 Be 1.71

Properties
Final energy = -7.176 eV/atom
Calculated volume = 8.1 A^3/atom

---

[6]
## Sm4Ho19Th6 (PBE)

Data for a geometry-optimized Sm4Ho19Th6 structure.

Lattice parameters (Å, degrees): 12.4416 12.4416 12.4416 90.00 90.00 90.00
With the nearest neighbours (Å) after each atom.
Space group I23 (No. 197)
Inequivalent atoms, fractional coordinates:
Sm 0.1786 0.1786 0.8214 x8  9 Ho 3.32-3.42
Ho 0.0000 0.0000 0.0000 x2  6 Ho 3.29
Ho 0.0000 0.0000 0.2640 x12  5 Ho 3.29-3.54, 2 Sm 3.32, 2 Th 3.35
Ho 0.0652 0.2584 0.2768 x24  1 Th 3.21, 4 Ho 3.32-3.57, 2 Sm 3.33-3.42
Th 0.0000 0.3710 0.5000 x12  1 Th 3.21, 4 Ho 3.21-3.35

Properties
ΔE_f = 0.427 eV/atom
Calculated volume = 33.2 A^3/atom

---

[7]
## In2AgHg (PBE)

Data for a geometry-optimized In2AgHg structure.

Lattice parameters (Å, degrees): 7.2566 7.2566 7.2566 90.00 90.00 90.00
With the nearest neighbours (Å) after each atom.
Space group F-43m (No. 216)
Inequivalent atoms, fractional coordinates:
In 0.0000 0.0000 0.0000 x4  4 Ag 3.14, 4 In 3.14
In 0.2500 0.2500 0.2500 x4  4 Hg 3.14, 4 In 3.14
Ag 0.2500 0.2500 0.7500 x4  4 Hg 3.14, 4 In 3.14
Hg 0.0000 0.0000 0.5000 x4  4 In 3.14, 4 Ag 3.14

Properties
ΔE_f = 0.073 eV/atom
Calculated volume = 23.9 A^3/atom

---

[8]
## Al2PdRh2 (PBE)

Data for a geometry-optimized Al2PdRh2 structure.

Lattice parameters (Å, degrees): 7.0145 7.0145 2.9316 90.00 90.00 90.00
With the nearest neighbours (Å) after each atom.
Space group P4/mbm (No. 127)
Inequivalent atoms, fractional coordinates:
Al 0.1453 0.3547 0.0000 x4  6 Rh 2.49-2.55, 2 Pd 2.69
Pd 0.0000 0.0000 0.0000 x2  4 Al 2.69, 2 Pd 2.93
Rh 0.1519 0.6519 0.5000 x4  6 Al 2.49-2.55

Properties
Relative energy among the computed polymorphs = 0.000 eV/atom
ΔE_f = -0.771 eV/atom
Calculated volume = 14.4 A^3/atom

---

[9]
## TlIn2TePd (PBE)

Data for a geometry-optimized TlIn2TePd structure.

Lattice parameters (Å, degrees): 5.2574 5.2574 5.3941 90.00 90.00 90.00
With the nearest neighbours (Å) after each atom.
Space group P4/mmm (No. 123)
Inequivalent atoms, fractional coordinates:
Tl 0.0000 0.0000 0.0000 x1  2 Pd 2.70
In 0.0000 0.5000 0.5000 x2  2 Pd 2.63
Te 0.5000 0.5000 0.0000 x1  4 Tl 3.72, 8 In 3.77
Pd 0.0000 0.0000 0.5000 x1  4 In 2.63, 2 Tl 2.70

Properties
Final energy = -3.444 eV/atom
Calculated volume = 29.8 A^3/atom

---

[10]
## CeZnNi5 (PBE)

Data for a geometry-optimized CeZnNi5 structure.

Lattice parameters (Å, degrees): 7.9389 4.8148 10.0395 90.00 90.00 90.00
With the nearest neighbours (Å) after each atom.
Space group Pnma (No. 62)
Inequivalent atoms, fractional coordinates:
Ce 0.2481 0.2500 0.0570 x4  6 Ni 2.74-2.90
Zn 0.1423 0.7500 0.8570 x4  8 Ni 2.50-2.66
Ni 0.0514 0.7500 0.0958 x4  4 Ni 2.45-2.59, 1 Zn 2.50
Ni 0.0666 0.0047 0.3066 x8  7 Ni 2.36-2.51, 2 Zn 2.62-2.64
Ni 0.0961 0.2500 0.5176 x4  5 Ni 2.43-2.51, 1 Zn 2.63
Ni 0.1863 0.2500 0.7492 x4  7 Ni 2.38-2.59, 2 Zn 2.66

Properties
ΔE_f = -0.313 eV/atom
Calculated volume = 13.7 A^3/atom

---

[11]
## LiY2F (PBE)

Data for a geometry-optimized LiY2F structure.

Lattice parameters (Å, degrees): 7.1286 7.1286 7.1286 90.00 90.00 90.00
With the nearest neighbours (Å) after each atom.
Space group Fm-3m (No. 225)
Inequivalent atoms, fractional coordinates:
Li 0.0000 0.0000 0.0000 x4  8 Y 3.09
Y 0.2500 0.2500 0.2500 x8  4 F 3.09, 4 Li 3.09
F 0.0000 0.0000 0.5000 x4  8 Y 3.09

Properties
Relative energy among the computed polymorphs = 0.484 eV/atom
Calculated volume = 22.6 A^3/atom

---

[12]
## LiTeRh2 (PBE)

Data for a geometry-optimized LiTeRh2 structure.

Lattice parameters (Å, degrees): 5.7273 8.8606 2.9663 90.00 120.66 90.00
With the nearest neighbours (Å) after each atom.
Space group C2/m (No. 12)
Inequivalent atoms, fractional coordinates:
Li 0.0000 0.0000 0.0000 x2  4 Rh 2.64, 4 Te 2.86-2.89
Te 0.0000 0.5000 0.0000 x2  4 Rh 2.64, 4 Li 2.86-2.89
Rh 0.2500 0.2500 0.5000 x4  2 Li 2.64, 2 Te 2.64, 4 Rh 2.86-2.89

Properties
Final energy = -5.034 eV/atom
Calculated volume = 16.2 A^3/atom

---

[13]
## Sm3Zn2Ni3 (PBE)

Data for a geometry-optimized Sm3Zn2Ni3 structure.

Lattice parameters (Å, degrees): 7.5742 14.6886 5.7156 90.00 90.00 90.00
With the nearest neighbours (Å) after each atom.
Space group Pnma (No. 62)
Inequivalent atoms, fractional coordinates:
Sm 0.0466 0.1037 0.1520 x8  6 Ni 2.85-3.16, 3 Zn 3.03-3.15
Sm 0.1864 0.2500 0.6156 x4  5 Ni 2.94-3.19, 4 Zn 3.03-3.13
Zn 0.1075 0.6008 0.3590 x8  4 Ni 2.40-2.61
Ni 0.1684 0.7500 0.5917 x4  2 Zn 2.61
Ni 0.1898 0.0378 0.5804 x8  3 Zn 2.40-2.48

Properties
ΔE_f = -0.341 eV/atom
Calculated volume = 19.9 A^3/atom

---

[14]
## Pm7PrTl5 (PBE)

Data for a geometry-optimized Pm7PrTl5 structure.

Lattice parameters (Å, degrees): 6.7307 10.8897 11.1947 90.00 90.00 90.00
With the nearest neighbours (Å) after each atom.
Space group Imm2 (No. 44)
Inequivalent atoms, fractional coordinates:
Pm 0.0000 0.0000 0.0000 x2  4 Tl 3.40, 5 Pm 3.62-3.70, 1 Pr 3.80
Pm 0.0000 0.0000 0.3236 x2  6 Tl 3.35-3.46, 1 Pm 3.62
Pm 0.0000 0.3089 0.1214 x4  5 Tl 3.27-3.39, 2 Pm 3.41-3.63
Pm 0.0000 0.3380 0.6380 x4  5 Tl 3.34-3.48, 4 Pm 3.53-3.73, 1 Pr 3.69
Pm 0.0000 0.5000 0.3625 x2  4 Tl 3.13, 2 Pm 3.41
Pr 0.0000 0.0000 0.6605 x2  10 Pm 3.69-4.05, 4 Tl 3.95
Tl 0.0000 0.5000 0.8942 x2  4 Tl 3.28, 6 Pm 3.29-3.46
Tl 0.2475 0.2412 0.8783 x8  7 Pm 3.13-3.48, 3 Tl 3.28-3.40

Properties
ΔE_f = -0.193 eV/atom
Calculated volume = 31.6 A^3/atom

---

[15]
## Pm4ScS5 (PBE)

Data for a geometry-optimized Pm4ScS5 structure.

Lattice parameters (Å, degrees): 3.9819 3.9819 28.0859 90.00 90.00 90.00
With the nearest neighbours (Å) after each atom.
Space group I4/mmm (No. 139)
Inequivalent atoms, fractional coordinates:
Pm 0.0000 0.0000 0.0997 x4  6 S 2.80-2.86
Pm 0.0000 0.0000 0.3040 x4  6 S 2.82-2.88
Sc 0.0000 0.0000 0.5000 x2  6 S 2.63-2.82
S 0.0000 0.0000 0.0000 x2  2 Pm 2.80, 4 Sc 2.82
S 0.0000 0.0000 0.2015 x4  6 Pm 2.82-2.88
S 0.0000 0.0000 0.4063 x4  1 Sc 2.63, 5 Pm 2.82-2.87

Properties
Final energy = -6.558 eV/atom
Calculated volume = 22.3 A^3/atom

---

[16]
## Ti2MnSe6 (PBE)

Data for a geometry-optimized Ti2MnSe6 structure.

Lattice parameters (Å, degrees): 6.2078 6.5182 10.6182 90.00 123.64 90.00
With the nearest neighbours (Å) after each atom.
Space group P2_1/c (No. 14)
Inequivalent atoms, fractional coordinates:
Ti 0.2106 0.1361 0.2513 x4  6 Se 2.52-2.71
Mn 0.0000 0.0000 0.5000 x2  6 Se 2.45-2.49
Se 0.0977 0.1663 0.9282 x4  1 Mn 2.49, 2 Ti 2.67
Se 0.2539 0.6754 0.9195 x4  1 Mn 2.45, 2 Ti 2.62-2.71
Se 0.4104 0.0280 0.7510 x4  1 Mn 2.47, 2 Ti 2.52-2.60

Properties
Relative energy among the computed polymorphs = 0.183 eV/atom
Calculated volume = 19.9 A^3/atom

---

[17]
## ZrRe2Sb (PBE)

Data for a geometry-optimized ZrRe2Sb structure.

Lattice parameters (Å, degrees): 5.8429 9.3500 2.9629 90.00 117.48 90.00
With the nearest neighbours (Å) after each atom.
Space group C2/m (No. 12)
Inequivalent atoms, fractional coordinates:
Zr 0.0000 0.0000 0.0000 x2  4 Re 2.79, 4 Sb 2.92-3.05, 2 Zr 2.96
Re 0.2500 0.2500 0.5000 x4  2 Zr 2.79, 2 Sb 2.79, 6 Re 2.92-3.05
Sb 0.0000 0.5000 0.0000 x2  4 Re 2.79, 4 Zr 2.92-3.05, 2 Sb 2.96

Properties
Final energy = -9.034 eV/atom
Calculated volume = 18.0 A^3/atom

---

[18]
## V2CoRh (PBE)

Data for a geometry-optimized V2CoRh structure.

Lattice parameters (Å, degrees): 2.6820 2.6820 7.0946 90.00 90.00 90.00
With the nearest neighbours (Å) after each atom.
Space group P4/mmm (No. 123)
Inequivalent atoms, fractional coordinates:
V 0.0000 0.0000 0.2348 x2  4 Co 2.52, 4 Rh 2.67, 4 V 2.68
Co 0.5000 0.5000 0.0000 x1  8 V 2.52, 4 Co 2.68
Rh 0.5000 0.5000 0.5000 x1  8 V 2.67, 4 Rh 2.68

Properties
Relative energy among the computed polymorphs = 0.005 eV/atom
ΔE_f = -0.235 eV/atom
Calculated volume = 12.8 A^3/atom

---

[19]
## Ba3Cd2Ga2 (PBE)

Data for a geometry-optimized Ba3Cd2Ga2 structure.

Lattice parameters (Å, degrees): 12.9879 4.4815 9.5095 90.00 115.18 90.00
With the nearest neighbours (Å) after each atom.
Space group C2/m (No. 12)
Inequivalent atoms, fractional coordinates:
Ba 0.0000 0.0000 0.0000 x2  6 Ga 3.65-3.69, 4 Cd 3.81
Ba 0.1919 0.0000 0.6521 x4  3 Ga 3.50-3.52, 5 Cd 3.57-3.73
Cd 0.0165 0.5000 0.3324 x4  1 Ga 2.92
Ga 0.2006 0.5000 0.9424 x4  2 Ga 2.58

Properties
ΔE_f = -0.344 eV/atom
Calculated volume = 35.8 A^3/atom